Entry from Alexandria via LeMat-Bulk: an optimized crystal structure of LaTb2Pr4Nd2 (PBE).

a = 15.5873 Å, b = 5.2139 Å, c = 8.2075 Å
α = 90.00°, β = 108.33°, γ = 90.00°
Space group C2/m (No. 12)
Inequivalent atoms, fractional coordinates:
La: 0.0000 0.0000 0.0000
Tb: 0.1106 0.0000 0.6648
Pr: 0.0547 0.5000 0.3346
Pr: 0.2228 0.0000 0.3339
Nd: 0.1678 0.5000 0.9992

Values from the calculation:
- ΔH_f (0 K) (eV per atom) = 0.014
- spin magnetization (μB/f.u.) = 0.00